# Hg2SeI | the Alexandria database | GGA-PBE | relaxed
data_Hg2SeI
_chemical_formula_sum 'Hg4 Se2 I2'
_symmetry_space_group_name_H-M 'P 1'
_symmetry_Int_Tables_number 1
_cell_length_a 7.1850
_cell_length_b 7.2355
_cell_length_c 7.3474
_cell_angle_alpha 66.01
_cell_angle_beta 61.50
_cell_angle_gamma 75.58
loop_
_symmetry_equiv_pos_as_xyz
'x,y,z'
loop_
_atom_site_label
_atom_site_fract_x
_atom_site_fract_y
_atom_site_fract_z
Hg1 0.0000 0.0000 0.0000
Hg2 0.1126 0.4606 0.4846
Hg3 0.4081 0.7366 0.2272
Hg4 0.5784 0.8964 0.5939
Se1 0.3930 0.0689 0.8779
Se2 0.7466 0.7178 0.3146
I1 0.0487 0.0458 0.5377
I2 0.7691 0.4145 0.9518
# Total moment = 0.00 μB per formula unit
# Crystal system = triclinic
# Excess energy over the best structure of this formula in the dataset = 3 meV/atom
# V = 153 Å³/f.u.
# Formation energy without anion corrections = -0.21 eV/atom